Cr3Sn3Sb2O16 | Alexandria | PBE+U | optimized geometry; calculated volume = 12.91 Å³/atom; energy = -0.486 Ry per atom
1.0
6.1833 0.0000 0.0000
-3.0668 5.3788 0.0000
-0.1293 -0.0820 9.3178
Cr Sn Sb O
3 3 2 16
Direct
0.0000 0.0000 0.0000
0.0007 0.4888 0.0115
0.8251 0.6584 0.5084
0.3331 0.1658 0.5052
0.3338 0.6597 0.5068
0.5082 0.9989 0.0149
0.5167 0.5048 0.2246
0.8454 0.1693 0.7297
0.1226 0.2977 0.8834
0.1548 0.8285 0.9234
0.1564 0.8238 0.4102
0.2154 0.3551 0.3634
0.3419 0.1783 0.1169
0.3416 0.6584 0.1184
0.5056 0.4976 0.6194
0.5148 0.0035 0.6223
0.6525 0.7848 0.3755
0.6538 0.3593 0.3747
0.7025 0.3082 0.8768
0.7086 0.8799 0.8739
0.8292 0.6617 0.1124
0.8565 0.1580 0.1133
0.9945 0.0018 0.6173
0.9959 0.4871 0.6205